[1]
{"formula": "PmP3", "functional": "meta-GGA SCAN", "state": "single point on PBEsol structure", "formation_enthalpy_0k_ev_per_atom": -0.3204, "magnetic_moment_mub_per_fu": 0.003, "volume_a3_per_cell": 72.4, "cell": [[-1.726, 3.367, 1.006], [-2.103, -0.092, -3.301], [-1.485, -4.047, 3.380]], "species": ["P", "P", "P", "Pm"], "frac_coords": [[0.250, 0.750, 0.500], [0.750, 0.250, 0.500], [0.500, 0.500, 0.000], [0.000, 0.000, 0.000]]}

---

[2]
{"formula": "CdFe2B", "functional": "meta-GGA SCAN", "state": "single point on PBEsol structure", "formation_enthalpy_0k_ev_per_atom": 0.8602, "magnetic_moment_mub_per_fu": 5.098, "volume_a3_per_cell": 45.9, "cell": [[4.019, 0.000, 0.000], [2.009, 3.480, 0.000], [2.009, 1.160, 3.281]], "species": ["B", "Cd", "Fe", "Fe"], "frac_coords": [[0.000, 0.000, 0.000], [0.500, 0.500, 0.500], [0.250, 0.250, 0.250], [0.750, 0.750, 0.750]]}

---

[3]
{"formula": "ReNiCl2", "functional": "meta-GGA SCAN", "state": "single point on PBEsol structure", "magnetic_moment_mub_per_fu": 1.785, "e_form_raw_ev_per_atom": 0.26, "volume_a3_per_cell": 78.3, "de_polymorph_mev_per_atom": 0.0, "cell": [[2.853, 0.000, 0.000], [0.000, 4.205, 0.000], [-1.426, -2.102, 6.528]], "species": ["Cl", "Cl", "Re", "Ni"], "frac_coords": [[0.352, 0.352, 0.705], [0.648, 0.648, 0.295], [0.000, 0.500, 0.000], [0.500, 0.000, 0.000]]}

---

[4]
{"formula": "Li2MgSi", "functional": "meta-GGA SCAN", "state": "single point on PBEsol structure", "magnetic_moment_mub_per_fu": 0.000, "e_form_raw_ev_per_atom": -0.07, "volume_a3_per_cell": 65.0, "cell": [[2.847, 0.000, 0.012], [0.000, 4.264, 0.000], [-1.287, 0.000, 5.352]], "species": ["Mg", "Li", "Li", "Si"], "frac_coords": [[0.504, 0.000, 0.517], [0.809, 0.500, 0.225], [0.999, 0.000, 0.994], [0.188, 0.500, 0.764]]}